Entry 1:
## ScCu2O (GGA-PBE)

Data for ScCu2O after structural relaxation.

**Fermi-level density of states**: 0.4300 states/eV/atom

Cell and atoms, written as POSCAR:
```
ScCu2O
1.0
-3.691 3.691 2.064
3.691 -3.691 2.064
3.691 3.691 -2.064
Sc Cu O
2 4 2
direct
0.000 0.000 0.000
0.750 0.250 0.500
0.201 0.625 0.076
0.375 0.451 0.576
0.549 0.125 0.924
0.875 0.799 0.424
0.250 0.750 0.500
0.500 0.500 0.000
```

---

Entry 2:
## ScCu3O (GGA-PBE)

Data for ScCu3O after structural relaxation.

**Fermi-level density of states**: 2.1170 states/eV/atom

Cell and atoms, written as POSCAR:
```
ScCu3O
1.0
4.786 0.000 0.000
0.000 4.786 0.000
0.000 0.000 4.786
Sc Cu O
1 3 1
direct
0.000 0.000 0.000
0.000 0.000 0.500
0.000 0.500 0.000
0.500 0.000 0.000
0.500 0.500 0.500
```

---

Entry 3:
## Sc3Cu5O12 (GGA-PBE)

Data for Sc3Cu5O12 after structural relaxation.

**Fermi-level density of states**: 0.6811 states/eV/atom

Cell and atoms, written as POSCAR:
```
Sc3Cu5O12
1.0
-6.002 6.002 6.002
6.002 -6.002 6.002
6.002 6.002 -6.002
Sc Cu O
12 20 48
direct
0.125 0.250 0.375
0.125 0.375 0.750
0.250 0.375 0.125
0.250 0.875 0.625
0.375 0.125 0.250
0.375 0.750 0.125
0.625 0.250 0.875
0.625 0.875 0.750
0.750 0.125 0.375
0.750 0.625 0.875
0.875 0.625 0.250
0.875 0.750 0.625
0.000 0.000 0.000
0.000 0.000 0.500
0.000 0.500 0.000
0.000 0.500 0.500
0.125 0.750 0.875
0.125 0.875 0.250
0.250 0.125 0.875
0.250 0.625 0.375
0.375 0.250 0.625
0.375 0.625 0.750
0.500 0.000 0.000
0.500 0.000 0.500
0.500 0.500 0.000
0.500 0.500 0.500
0.625 0.375 0.250
0.625 0.750 0.375
0.750 0.375 0.625
0.750 0.875 0.125
0.875 0.125 0.750
0.875 0.250 0.125
0.039 0.209 0.134
0.039 0.330 0.905
0.075 0.709 0.670
0.075 0.866 0.405
0.095 0.634 0.425
0.095 0.961 0.670
0.134 0.039 0.209
0.134 0.595 0.925
0.170 0.209 0.575
0.170 0.461 0.595
0.209 0.134 0.039
0.209 0.575 0.170
0.291 0.330 0.925
0.291 0.461 0.366
0.330 0.905 0.039
0.330 0.925 0.291
0.366 0.291 0.461
0.366 0.575 0.905
0.405 0.075 0.866
0.405 0.830 0.539
0.425 0.095 0.634
0.425 0.830 0.791
0.461 0.366 0.291
0.461 0.595 0.170
0.539 0.405 0.830
0.539 0.634 0.709
0.575 0.170 0.209
0.575 0.905 0.366
0.595 0.170 0.461
0.595 0.925 0.134
0.634 0.425 0.095
0.634 0.709 0.539
0.670 0.075 0.709
0.670 0.095 0.961
0.709 0.539 0.634
0.709 0.670 0.075
0.791 0.425 0.830
0.791 0.866 0.961
0.830 0.539 0.405
0.830 0.791 0.425
0.866 0.405 0.075
0.866 0.961 0.791
0.905 0.039 0.330
0.905 0.366 0.575
0.925 0.134 0.595
0.925 0.291 0.330
0.961 0.670 0.095
0.961 0.791 0.866
```

---

Entry 4:
## ScCuSn2O (GGA-PBE)

Data for ScCuSn2O after structural relaxation.

**Fermi-level density of states**: 0.5765 states/eV/atom

Cell and atoms, written as POSCAR:
```
ScCuSn2O
1.0
5.149 0.000 0.000
0.000 5.149 0.000
0.000 0.000 3.649
Sc Cu Sn O
1 1 2 1
direct
0.000 0.000 0.000
0.500 0.500 0.000
0.000 0.500 0.500
0.500 0.000 0.500
0.500 0.500 0.500
```

---

Entry 5:
## Sr2ScCu2O6 (GGA-PBE)

Data for Sr2ScCu2O6 after structural relaxation.

**Fermi-level density of states**: 0.6046 states/eV/atom

Cell and atoms, written as POSCAR:
```
Sr2ScCu2O6
1.0
2.919 1.685 5.477
-2.919 1.685 5.477
0.000 -3.371 5.477
Sr Sc Cu O
2 1 2 6
direct
0.211 0.211 0.211
0.789 0.789 0.789
0.000 0.000 0.000
0.418 0.418 0.418
0.582 0.582 0.582
0.222 0.760 0.760
0.240 0.240 0.778
0.240 0.778 0.240
0.760 0.222 0.760
0.760 0.760 0.222
0.778 0.240 0.240
```

---

Entry 6:
## Sr2ScCuO5 (GGA-PBE)

Data for Sr2ScCuO5 after structural relaxation.

**Fermi-level density of states**: 0.2080 states/eV/atom

Cell and atoms, written as POSCAR:
```
Sr2ScCuO5
1.0
1.680 -7.168 0.000
1.680 7.168 0.000
0.000 0.000 10.396
Sr Sc Cu O
4 2 2 10
direct
0.113 0.887 0.500
0.132 0.868 0.135
0.868 0.132 0.635
0.887 0.113 0.000
0.208 0.792 0.842
0.792 0.208 0.342
0.454 0.546 0.267
0.546 0.454 0.767
0.048 0.952 0.849
0.291 0.709 0.471
0.321 0.679 0.203
0.346 0.654 0.820
0.498 0.502 0.599
0.502 0.498 0.099
0.654 0.346 0.320
0.679 0.321 0.703
0.709 0.291 0.971
0.952 0.048 0.349
```

---

Entry 7:
## Sr2ScCu3O6 (GGA-PBE)

Data for Sr2ScCu3O6 after structural relaxation.

**Fermi-level density of states**: 0.1758 states/eV/atom

Cell and atoms, written as POSCAR:
```
Sr2ScCu3O6
1.0
3.757 0.000 0.000
0.000 3.757 0.000
0.000 0.000 11.576
Sr Sc Cu O
2 1 3 6
direct
0.000 0.000 0.201
0.000 0.000 0.799
0.000 0.000 0.500
0.500 0.500 0.000
0.500 0.500 0.365
0.500 0.500 0.635
0.000 0.500 0.384
0.000 0.500 0.616
0.500 0.000 0.384
0.500 0.000 0.616
0.500 0.500 0.157
0.500 0.500 0.843
```

---

Entry 8:
## Sc4TlCuO (GGA-PBE)

Data for Sc4TlCuO after structural relaxation.

**Fermi-level density of states**: 0.3616 states/eV/atom

Cell and atoms, written as POSCAR:
```
Sc4TlCuO
1.0
3.079 -7.062 0.000
3.079 7.062 0.000
0.000 0.000 6.187
Sc Tl Cu O
8 2 2 2
direct
0.000 0.500 0.000
0.000 0.500 0.500
0.062 0.938 0.750
0.413 0.587 0.750
0.500 0.000 0.000
0.500 0.000 0.500
0.587 0.413 0.250
0.938 0.062 0.250
0.389 0.611 0.250
0.611 0.389 0.750
0.124 0.876 0.250
0.876 0.124 0.750
0.252 0.748 0.750
0.748 0.252 0.250
```

---

no.,uncorrected formation energy (eV per atom)
1,-0.776
2,1.652
3,-1.457
4,-0.407
5,-1.902
6,-2.291
7,-1.844
8,-0.955